# 1
Computed, not measured: Tm12Co2Au5 after structural relaxation at the PBE level of DFT.

Calculated values
Calculated density (Mg/m³): 10.2
Energy of formation (meV per atom): -443
Space-group type: C2/m, No. 12

The structure in CIF format:
```
data_Tm12Co2Au5
_symmetry_space_group_name_H-M 'P 1'
_symmetry_Int_Tables_number 1
_symmetry_space_group_name_Hall 'P 1'
_cell_length_a 7.3267
_cell_length_b 8.7778
_cell_length_c 9.0541
_cell_angle_alpha 104.21
_cell_angle_beta 90.00
_cell_angle_gamma 114.67
loop_
_atom_site_label
_atom_site_type_symbol
_atom_site_fract_x
_atom_site_fract_y
_atom_site_fract_z
Tm1 Tm 0.9878 0.9755 0.1792
Tm2 Tm 0.0972 0.6677 0.9061
Tm3 Tm 0.5705 0.6677 0.9061
Tm4 Tm 0.1037 0.7098 0.4335
Tm5 Tm 0.6060 0.7098 0.4335
Tm6 Tm 0.4990 0.9981 0.7648
Tm7 Tm 0.5010 0.0019 0.2352
Tm8 Tm 0.8963 0.2902 0.5665
Tm9 Tm 0.3940 0.2902 0.5665
Tm10 Tm 0.9028 0.3323 0.0939
Tm11 Tm 0.4295 0.3323 0.0939
Tm12 Tm 0.0122 0.0245 0.8208
Co1 Co 0.7129 0.0000 0.0000
Co2 Co 0.2871 0.0000 0.0000
Au1 Au 0.2952 0.5904 0.6352
Au2 Au 0.3095 0.6190 0.1634
Au3 Au 0.0000 0.0000 0.5000
Au4 Au 0.6905 0.3810 0.8366
Au5 Au 0.7048 0.4096 0.3648
```


# 2
Computed, not measured: YTmCoAu after structural relaxation at the PBE level of DFT.

Calculated values
Calculated density (Mg/m³): 10.2
Energy of formation (meV per atom): -461
Space-group type: F-43m, No. 216

The structure in CIF format:
```
data_YTmCoAu
_symmetry_space_group_name_H-M 'P 1'
_symmetry_Int_Tables_number 1
_symmetry_space_group_name_Hall 'P 1'
_cell_length_a 4.9044
_cell_length_b 4.9044
_cell_length_c 4.9044
_cell_angle_alpha 60.00
_cell_angle_beta 60.00
_cell_angle_gamma 60.00
loop_
_atom_site_label
_atom_site_type_symbol
_atom_site_fract_x
_atom_site_fract_y
_atom_site_fract_z
Y1 Y 0.7500 0.7500 0.7500
Co1 Co 0.5000 0.5000 0.5000
Tm1 Tm 0.2500 0.2500 0.2500
Au1 Au 0.0000 0.0000 0.0000
```


> The highest energy of formation belongs to which entry?

Tm12Co2Au5


> What is the formula in the second record?

YTmCoAu


> Among the records above, which one has the lowest energy of formation?

YTmCoAu


> What is the calculated density in the second record?

10.2 Mg/m³